(1)
Ac2ScAs3Rh12 | PBE | optimized geometry

Calculated values
**Total DFT energy (no corrections)**: -6.7320 eV per atom
**E_form**: -248 meV per atom
**Calculated volume**: 17.77 A^3/atom

Unit cell a=9.1910 b=9.1910 c=13.1165 alpha=90.00 beta=90.00 gamma=120.00
Space group R-3m (No. 166, hexagonal axes)
Asymmetric unit:
1 Ac 0.0000 0.0000 0.1455 [6 per cell]
2 Sc 0.0000 0.0000 0.5000 [3 per cell]
3 As 0.0000 0.5000 0.0000 [9 per cell]
4 Rh 0.0061 0.5031 0.1838 [18 per cell]
5 Rh 0.0141 0.5070 0.3833 [18 per cell]



(2)
Ac2ScAs3Rh4 | PBE | optimized geometry

Calculated values
**Total DFT energy (no corrections)**: -6.7517 eV per atom
**E_form**: -961 meV per atom
**Calculated volume**: 20.07 A^3/atom

Unit cell a=4.248 b=4.248 c=11.121 alpha=90.00 beta=90.00 gamma=90.00
Space group P-4m2 (No. 115)
Asymmetric unit:
1 Ac 0.000 0.500 0.240 [2 per cell]
2 Sc 0.000 0.000 0.500 [1 per cell]
3 As 0.000 0.500 0.872 [2 per cell]
4 As 0.500 0.500 0.500 [1 per cell]
5 Rh 0.000 0.000 0.000 [1 per cell]
6 Rh 0.000 0.500 0.644 [2 per cell]
7 Rh 0.500 0.500 0.000 [1 per cell]



(3)
Ac6As2RhSe3 | PBE | optimized geometry

Calculated values
**Total DFT energy (no corrections)**: -5.8721 eV per atom
**Calculated volume**: 32.13 A^3/atom

Unit cell a=19.541 b=4.451 c=9.121 alpha=90.00 beta=103.58 gamma=90.00
Space group C2/m (No. 12)
Asymmetric unit:
1 Ac 0.001 0.000 0.235 [4 per cell]
2 Ac 0.158 0.500 0.086 [4 per cell]
3 Ac 0.169 0.500 0.579 [4 per cell]
4 As 0.166 0.000 0.335 [4 per cell]
5 Rh 0.000 0.500 0.000 [2 per cell]
6 Se 0.000 0.500 0.500 [2 per cell]
7 Se 0.171 0.000 0.834 [4 per cell]



(4)
Ac6AsRh2Se3 | PBE | optimized geometry

Calculated values
**Total DFT energy (no corrections)**: -5.9265 eV per atom
**Calculated volume**: 31.92 A^3/atom

Unit cell a=7.648 b=13.254 c=7.989 alpha=90.00 beta=108.91 gamma=90.00
Space group C2/m (No. 12)
Asymmetric unit:
1 Ac 0.230 0.000 0.229 [4 per cell]
2 Ac 0.248 0.326 0.229 [8 per cell]
3 As 0.000 0.500 0.000 [2 per cell]
4 Rh 0.000 0.168 0.000 [4 per cell]
5 Se 0.000 0.000 0.500 [2 per cell]
6 Se 0.000 0.339 0.500 [4 per cell]



Number 1: spin magnetization 0.000 μB per formula unit. Number 2: spin magnetization 0.000 μB per formula unit. Number 3: spin magnetization 0.000 μB per formula unit. Number 4: spin magnetization 0.000 μB per formula unit.